Record 1
DFT (PBE) results for Li2InPt after structural relaxation.

Lattice parameters (Å, degrees): 2.9992 3.8007 5.8399 90.00 90.00 90.00
Space group Pmm2 (No. 25)
One atom of each set of equivalent atoms:
Li (0.0000, 0.0000, 0.0000) [1 per cell]
Li (0.5000, 0.5000, 0.2455) [1 per cell]
In (0.5000, 0.5000, 0.7176) [1 per cell]
Pt (0.0000, 0.0000, 0.4618) [1 per cell]

Computed properties:
The value obtained for the energy relative to the elements is -0.42 eV/atom. The volume comes out at 66.57 Å³/cell. The final energy comes out at -3.57 eV/atom.



Record 2
DFT (PBE) results for LiInPt after structural relaxation.

Lattice parameters (Å, degrees): 4.4365 4.4365 2.8882 90.00 90.00 120.00
Space group P3m1 (No. 156)
One atom of each set of equivalent atoms:
Li (0.0000, 0.0000, 0.0000) [1 per cell]
In (0.6667, 0.3333, 0.6091) [1 per cell]
Pt (0.3333, 0.6667, 0.1653) [1 per cell]

Computed properties:
The value obtained for the energy relative to the elements is -0.52 eV/atom. The volume comes out at 49.23 Å³/cell. The final energy comes out at -4.09 eV/atom.



Record 3
DFT (PBE) results for Li2InPt after structural relaxation.

Lattice parameters (Å, degrees): 3.9620 3.9620 4.1200 90.00 90.00 90.00
Space group P4/mmm (No. 123)
One atom of each set of equivalent atoms:
Li (0.0000, 0.5000, 0.0000) [2 per cell]
In (0.0000, 0.0000, 0.5000) [1 per cell]
Pt (0.5000, 0.5000, 0.5000) [1 per cell]

Computed properties:
The value obtained for the energy relative to the elements is -0.50 eV/atom. The volume comes out at 64.67 Å³/cell. The final energy comes out at -3.66 eV/atom.



Record 4
DFT (PBE) results for Li3In3Pt2 after structural relaxation.

Lattice parameters (Å, degrees): 4.5960 4.5960 22.5752 90.00 90.00 120.00
Space group R3m (No. 160, hexagonal axes)
One atom of each set of equivalent atoms:
Li (0.0000, 0.0000, 0.0000) [3 per cell]
Li (0.0000, 0.0000, 0.1240) [3 per cell]
Li (0.0000, 0.0000, 0.6274) [3 per cell]
In (0.0000, 0.0000, 0.2562) [3 per cell]
In (0.0000, 0.0000, 0.5023) [3 per cell]
In (0.0000, 0.0000, 0.7473) [3 per cell]
Pt (0.0000, 0.0000, 0.3784) [3 per cell]
Pt (0.0000, 0.0000, 0.8751) [3 per cell]

Computed properties:
The value obtained for the energy relative to the elements is -0.57 eV/atom. The volume comes out at 412.97 Å³/cell. The final energy comes out at -3.82 eV/atom.



Record 5
DFT (PBE) results for Li2PuInPt2 after structural relaxation.

Lattice parameters (Å, degrees): 4.3742 4.3742 6.5966 90.00 90.00 120.00
Space group P-3m1 (No. 164)
One atom of each set of equivalent atoms:
Li (0.3333, 0.6667, 0.1722) [2 per cell]
Pu (0.0000, 0.0000, 0.5000) [1 per cell]
In (0.0000, 0.0000, 0.0000) [1 per cell]
Pt (0.3333, 0.6667, 0.7477) [2 per cell]

Computed properties:
The value obtained for the energy relative to the elements is -0.56 eV/atom. The volume comes out at 109.31 Å³/cell. The final energy comes out at -6.05 eV/atom.



Record 6
DFT (PBE) results for LiPuInPt after structural relaxation.

Lattice parameters (Å, degrees): 6.8287 6.8287 6.8287 90.00 90.00 90.00
Space group F-43m (No. 216)
One atom of each set of equivalent atoms:
Li (0.0000, 0.0000, 0.0000) [4 per cell]
Pu (0.2500, 0.2500, 0.2500) [4 per cell]
In (0.2500, 0.2500, 0.7500) [4 per cell]
Pt (0.0000, 0.0000, 0.5000) [4 per cell]

Computed properties:
The value obtained for the energy relative to the elements is -0.47 eV/atom. The volume comes out at 318.43 Å³/cell. The final energy comes out at -6.73 eV/atom.



Record 7
DFT (PBE) results for RbLiIn2Pt after structural relaxation.

Lattice parameters (Å, degrees): 5.2215 5.2215 5.3583 90.00 90.00 90.00
Space group P4/mmm (No. 123)
One atom of each set of equivalent atoms:
Rb (0.0000, 0.0000, 0.0000) [1 per cell]
Li (0.5000, 0.5000, 0.0000) [1 per cell]
In (0.0000, 0.5000, 0.5000) [2 per cell]
Pt (0.5000, 0.5000, 0.5000) [1 per cell]

Computed properties:
The value obtained for the energy relative to the elements is -0.29 eV/atom. The volume comes out at 146.09 Å³/cell. The final energy comes out at -3.17 eV/atom.



Record 8
DFT (PBE) results for LiInSbPt after structural relaxation.

Lattice parameters (Å, degrees): 6.7653 6.7653 6.7653 90.00 90.00 90.00
Space group F-43m (No. 216)
One atom of each set of equivalent atoms:
Li (0.0000, 0.0000, 0.0000) [4 per cell]
In (0.2500, 0.2500, 0.2500) [4 per cell]
Sb (0.2500, 0.2500, 0.7500) [4 per cell]
Pt (0.0000, 0.0000, 0.5000) [4 per cell]

Computed properties:
Its raw formation energy is -0.342 eV per atom. The volume comes out at 309.64 Å³/cell. The final energy comes out at -4.05 eV/atom.



Record 9
DFT (PBE) results for LiScIn2Pt after structural relaxation.

Lattice parameters (Å, degrees): 5.1944 5.1944 5.0605 90.00 90.00 90.00
Space group P4/mmm (No. 123)
One atom of each set of equivalent atoms:
Li (0.0000, 0.0000, 0.0000) [1 per cell]
Sc (0.5000, 0.5000, 0.0000) [1 per cell]
In (0.0000, 0.5000, 0.5000) [2 per cell]
Pt (0.5000, 0.5000, 0.5000) [1 per cell]

Computed properties:
The value obtained for the energy relative to the elements is -0.17 eV/atom. The volume comes out at 136.54 Å³/cell. The final energy comes out at -4.12 eV/atom.



Record 10
DFT (PBE) results for LiInSiPt after structural relaxation.

Lattice parameters (Å, degrees): 6.3593 6.3593 6.3593 90.00 90.00 90.00
Space group F-43m (No. 216)
One atom of each set of equivalent atoms:
Li (0.0000, 0.0000, 0.0000) [4 per cell]
In (0.2500, 0.2500, 0.7500) [4 per cell]
Si (0.2500, 0.2500, 0.2500) [4 per cell]
Pt (0.0000, 0.0000, 0.5000) [4 per cell]

Computed properties:
Its raw formation energy is -0.325 eV per atom. The volume comes out at 257.17 Å³/cell. The final energy comes out at -4.35 eV/atom.



Record 11
DFT (PBE) results for LiSmInPt after structural relaxation.

Lattice parameters (Å, degrees): 6.8683 6.8683 6.8683 90.00 90.00 90.00
Space group F-43m (No. 216)
One atom of each set of equivalent atoms:
Li (0.0000, 0.0000, 0.0000) [4 per cell]
Sm (0.2500, 0.2500, 0.7500) [4 per cell]
In (0.2500, 0.2500, 0.2500) [4 per cell]
Pt (0.0000, 0.0000, 0.5000) [4 per cell]

Computed properties:
The value obtained for the energy relative to the elements is -0.72 eV/atom. The volume comes out at 324.00 Å³/cell. The final energy comes out at -4.57 eV/atom.



Record 12
DFT (PBE) results for LiInSnPt after structural relaxation.

Lattice parameters (Å, degrees): 6.6781 6.6781 6.6781 90.00 90.00 90.00
Space group F-43m (No. 216)
One atom of each set of equivalent atoms:
Li (0.0000, 0.0000, 0.0000) [4 per cell]
In (0.2500, 0.2500, 0.7500) [4 per cell]
Sn (0.2500, 0.2500, 0.2500) [4 per cell]
Pt (0.0000, 0.0000, 0.5000) [4 per cell]

Computed properties:
The value obtained for the energy relative to the elements is -0.43 eV/atom. The volume comes out at 297.83 Å³/cell. The final energy comes out at -4.10 eV/atom.



Record 13
DFT (PBE) results for SrLi2InPt after structural relaxation.

Lattice parameters (Å, degrees): 4.9484 4.9484 5.1762 90.00 90.00 90.00
Space group P4/mmm (No. 123)
One atom of each set of equivalent atoms:
Sr (0.0000, 0.0000, 0.0000) [1 per cell]
Li (0.0000, 0.5000, 0.5000) [2 per cell]
In (0.5000, 0.5000, 0.0000) [1 per cell]
Pt (0.5000, 0.5000, 0.5000) [1 per cell]

Computed properties:
The value obtained for the energy relative to the elements is -0.38 eV/atom. The volume comes out at 126.75 Å³/cell. The final energy comes out at -3.23 eV/atom.



Record 14
DFT (PBE) results for Sr2LiInPt after structural relaxation.

Lattice parameters (Å, degrees): 5.8728 5.8728 4.8043 90.00 90.00 90.00
Space group P4/mmm (No. 123)
One atom of each set of equivalent atoms:
Sr (0.0000, 0.5000, 0.0000) [2 per cell]
Li (0.0000, 0.0000, 0.5000) [1 per cell]
In (0.5000, 0.5000, 0.5000) [1 per cell]
Pt (0.0000, 0.0000, 0.0000) [1 per cell]

Computed properties:
The value obtained for the energy relative to the elements is -0.39 eV/atom. The energy relative to the lowest polymorph listed for this composition is 0 meV/atom. The volume comes out at 165.70 Å³/cell. The final energy comes out at -3.20 eV/atom.



Calculated Fermi-level density of states, 1.79; 0.50; 0.96; 2.08; 13.49; 7.93; 2.12; 2.65; 3.93; 1.18; 5.61; 2.34; 1.59; 1.96 states/eV/f.u. (same order as the records).